Ca2YHfSn (meta-GGA SCAN, single point on PBEsol structure); formation enthalpy at 0 K = 1.0740 eV per atom; calculated density = 4.9 Mg/m³; electronic total energy = -28.079 eV/atom
1.0
5.1819 0.0000 0.0000
0.0000 5.5435 0.0000
0.0000 0.0000 5.5435
Y Hf Ca Sn
1 1 2 1
Direct
0.0000 0.0000 0.0000
0.5000 0.0000 0.0000
0.0000 0.5000 0.0000
0.0000 0.0000 0.5000
0.5000 0.5000 0.5000

SrCa2Hf (meta-GGA SCAN, single point on PBEsol structure); formation enthalpy at 0 K = 0.6022 eV per atom; calculated density = 4.3 Mg/m³; electronic total energy = -25.467 eV/atom
1.0
-4.1822 2.2576 3.2335
-1.2175 -2.2868 5.1314
1.3129 2.8645 4.8077
Ca Sr Hf
2 1 1
Direct
0.7500 0.7500 0.7500
0.2500 0.2500 0.2500
0.0000 0.0000 0.0000
0.5000 0.5000 0.5000

CaHfTa3 (meta-GGA SCAN, single point on PBEsol structure); formation enthalpy at 0 K = 1.5588 eV per atom; calculated density = 10.4 Mg/m³; electronic total energy = -52.859 eV/atom
1.0
-1.2797 -3.1184 3.6371
4.6454 0.1133 1.7316
-1.1720 3.8541 2.8920
Ta Hf Ca
3 1 1
Direct
0.0000 0.0000 0.5000
0.5000 0.0000 0.0000
0.0000 0.5000 0.0000
0.0000 0.0000 0.0000
0.5000 0.5000 0.5000

Ca3HfTa (meta-GGA SCAN, single point on PBEsol structure); formation enthalpy at 0 K = 1.5852 eV per atom; calculated density = 5.0 Mg/m³; electronic total energy = -30.064 eV/atom
1.0
-1.1910 5.0285 -1.6212
-2.7684 0.8215 4.5819
4.5000 1.8363 2.3897
Ta Hf Ca
1 1 3
Direct
0.0000 0.0000 0.0000
0.5000 0.5000 0.5000
0.5000 0.0000 0.0000
0.0000 0.5000 0.0000
0.0000 0.0000 0.5000

CaHf2ZrTa (meta-GGA SCAN, single point on PBEsol structure); formation enthalpy at 0 K = 1.2028 eV per atom; calculated density = 8.4 Mg/m³; electronic total energy = -45.256 eV/atom
1.0
4.9056 0.0000 0.0000
0.0000 5.1817 0.0000
0.0000 0.0000 5.1817
Hf Zr Ta Ca
2 1 1 1
Direct
0.0000 0.0000 0.5000
0.0000 0.5000 0.0000
0.0000 0.0000 0.0000
0.5000 0.0000 0.0000
0.5000 0.5000 0.5000

CaHfTe2 (meta-GGA SCAN, single point on PBEsol structure); calculated density = 8.1 Mg/m³; electronic total energy = -37.482 eV/atom; E_form (uncorrected) = -0.772 eV/atom
1.0
-3.7280 -0.9616 -3.4358
-1.8004 -4.8013 -0.5777
-4.7553 -1.1842 1.6162
Ca Te Hf
1 2 1
Direct
0.0000 0.0000 0.0000
0.2500 0.2500 0.2500
0.7500 0.7500 0.7500
0.5000 0.5000 0.5000

Ca3HfTe (meta-GGA SCAN, single point on PBEsol structure); calculated density = 3.7 Mg/m³; electronic total energy = -25.532 eV/atom; E_form (uncorrected) = 0.251 eV/atom
1.0
-3.8712 -0.7411 4.1884
-4.1559 -0.5466 -3.9379
0.9055 -5.6771 -0.1676
Hf Ca Te
1 3 1
Direct
0.5000 0.5000 0.5000
0.0000 0.5000 0.0000
0.0000 0.0000 0.5000
0.5000 0.0000 0.0000
0.0000 0.0000 0.0000

CaHfTi3 (meta-GGA SCAN, single point on PBEsol structure); formation enthalpy at 0 K = 0.8869 eV per atom; calculated density = 5.0 Mg/m³; electronic total energy = -23.198 eV/atom
1.0
4.9220 0.0000 0.0000
0.0000 4.9220 0.0000
0.0000 0.0000 4.9220
Ti Ca Hf
3 1 1
Direct
0.0000 0.0000 0.5000
0.5000 0.0000 0.0000
0.0000 0.5000 0.0000
0.5000 0.5000 0.5000
0.0000 0.0000 0.0000

CaHfTl2 (meta-GGA SCAN, single point on PBEsol structure); formation enthalpy at 0 K = -0.0851 eV per atom; calculated density = 10.8 Mg/m³; electronic total energy = -54.348 eV/atom
1.0
5.1418 0.0000 0.0000
2.5709 4.4529 0.0000
2.5709 1.4843 4.1983
Ca Hf Tl
1 1 2
Direct
0.0000 0.0000 0.0000
0.5000 0.5000 0.5000
0.2500 0.2500 0.2500
0.7500 0.7500 0.7500

CaHf2TlW (meta-GGA SCAN, single point on PBEsol structure); formation enthalpy at 0 K = 1.8080 eV per atom; calculated density = 9.1 Mg/m³; electronic total energy = -53.603 eV/atom
1.0
5.2070 0.0000 0.0000
0.0000 5.2070 0.0000
0.0000 0.0000 5.2996
Ca W Hf Tl
1 1 2 1
Direct
0.0000 0.0000 0.5000
0.5000 0.5000 0.5000
0.0000 0.5000 0.0000
0.5000 0.0000 0.0000
0.0000 0.0000 0.0000

Ca5Hg (meta-GGA SCAN, single point on PBEsol structure); formation enthalpy at 0 K = -0.1596 eV per atom; calculated density = 3.3 Mg/m³; offset from the most stable computed form = 0.090 eV/atom; electronic total energy = -19.573 eV/atom
1.0
-2.4830 -0.8290 -3.7866
4.4426 -2.4061 -2.3865
-0.9516 -6.5803 4.8629
Ca Hg
5 1
Direct
0.1452 0.0000 0.2905
0.8548 0.0000 0.7095
0.3353 0.5000 0.6706
0.0000 0.5000 0.0000
0.6647 0.5000 0.3294
0.5000 0.0000 0.0000

Ca5Hg3 (meta-GGA SCAN, single point on PBEsol structure); formation enthalpy at 0 K = -0.5960 eV per atom; calculated density = 5.6 Mg/m³; electronic total energy = -32.198 eV/atom
1.0
8.0690 0.0000 0.0000
-4.0345 8.2960 -0.0090
0.0000 3.9317 7.0463
Hg Ca
6 10
Direct
0.2500 0.5000 0.7500
0.1328 0.0000 0.6328
0.7500 0.5000 0.2500
0.3672 0.0000 0.1328
0.6328 0.0000 0.8672
0.8672 0.0000 0.3672
0.0176 0.7046 0.4824
0.4824 0.2954 0.6870
0.9824 0.2954 0.5176
0.6870 0.7046 0.8130
0.1870 0.7046 0.9824
0.8130 0.2954 0.0176
0.5000 0.0000 0.5000
0.0000 0.0000 0.0000
0.3130 0.2954 0.1870
0.5176 0.7046 0.3130

Ca4Hg9 (meta-GGA SCAN, single point on PBEsol structure); formation enthalpy at 0 K = -0.5201 eV per atom; calculated density = 10.3 Mg/m³; electronic total energy = -50.685 eV/atom
1.0
10.8063 0.0000 0.0000
0.0000 10.8063 0.0000
0.0000 0.0000 10.8063
Hg Ca
36 16
Direct
0.0000 0.0000 0.3594
0.9748 0.6716 0.3284
0.6857 0.3143 0.6857
0.6057 0.6057 0.6057
0.6716 0.0252 0.6716
0.0000 0.0000 0.6406
0.0000 0.3594 0.0000
0.0000 0.6406 0.0000
0.1546 0.5000 0.5000
0.6406 0.0000 0.0000
0.1572 0.1572 0.8428
0.3943 0.3943 0.6057
0.3143 0.3143 0.3143
0.5000 0.1546 0.5000
0.3284 0.9748 0.6716
0.5000 0.5000 0.1546
0.0252 0.3284 0.3284
0.3943 0.6057 0.3943
0.3284 0.6716 0.9748
0.6716 0.9748 0.3284
0.5000 0.8454 0.5000
0.1572 0.8428 0.1572
0.8454 0.5000 0.5000
0.8428 0.1572 0.1572
0.6716 0.3284 0.9748
0.3284 0.3284 0.0252
0.8428 0.8428 0.8428
0.6857 0.6857 0.3143
0.6716 0.6716 0.0252
0.9748 0.3284 0.6716
0.0252 0.6716 0.6716
0.3594 0.0000 0.0000
0.6057 0.3943 0.3943
0.3143 0.6857 0.6857
0.5000 0.5000 0.8454
0.3284 0.0252 0.3284
0.1395 0.1395 0.1395
0.8090 0.1910 0.4611
0.1395 0.8605 0.8605
0.1910 0.1910 0.5389
0.8605 0.8605 0.1395
0.8090 0.5389 0.8090
0.1910 0.4611 0.8090
0.1910 0.5389 0.1910
0.8090 0.4611 0.1910
0.5389 0.8090 0.8090
0.4611 0.8090 0.1910
0.1910 0.8090 0.4611
0.4611 0.1910 0.8090
0.5389 0.1910 0.1910
0.8090 0.8090 0.5389
0.8605 0.1395 0.8605

Ca3Hg (meta-GGA SCAN, single point on PBEsol structure); formation enthalpy at 0 K = -0.3025 eV per atom; calculated density = 4.2 Mg/m³; offset from the most stable computed form = 0.130 eV/atom; electronic total energy = -24.591 eV/atom
1.0
-1.2131 -4.0227 4.7831
-0.8166 -5.2711 -4.6403
16.4937 -3.5841 1.1688
Ca Hg
18 6
Direct
0.5093 0.7635 0.0000
0.7320 0.2484 0.6853
0.1999 0.0000 0.6301
0.4907 0.2635 0.5000
0.9962 0.0000 0.0000
0.7320 0.7516 0.6853
0.1999 0.0000 0.3699
0.7320 0.2484 0.3147
0.2680 0.2516 0.1853
0.4907 0.7365 0.5000
0.2680 0.7484 0.8147
0.2680 0.7484 0.1853
0.2680 0.2516 0.8147
0.7320 0.7516 0.3147
0.0038 0.5000 0.5000
0.5093 0.2365 0.0000
0.8001 0.5000 0.8699
0.8001 0.5000 0.1301
0.8657 0.0000 0.5000
0.6936 0.0000 0.1544
0.3064 0.5000 0.3456
0.3064 0.5000 0.6544
0.1343 0.5000 0.0000
0.6936 0.0000 0.8456

Ca3Hg (meta-GGA SCAN, single point on PBEsol structure); formation enthalpy at 0 K = -0.3460 eV per atom; calculated density = 4.1 Mg/m³; offset from the most stable computed form = 0.087 eV/atom; electronic total energy = -24.635 eV/atom
1.0
3.8818 0.0000 0.0000
0.0000 5.7301 0.0000
-1.9409 -2.8650 5.9020
Hg Ca
1 3
Direct
0.0000 0.5000 0.0000
0.5000 0.0000 0.0000
0.2972 0.2972 0.5943
0.7028 0.7028 0.4057

Ca3Hg2 (meta-GGA SCAN, single point on PBEsol structure); formation enthalpy at 0 K = -0.6277 eV per atom; calculated density = 6.0 Mg/m³; electronic total energy = -33.692 eV/atom
1.0
-3.6746 -0.8734 -1.8102
-2.2105 -4.4876 6.6525
-3.3268 6.7919 3.4762
Ca Hg
6 4
Direct
0.0000 0.0000 0.0000
0.5000 0.1574 0.6574
0.5000 0.8426 0.3426
0.5000 0.6574 0.8426
0.5000 0.3426 0.1574
0.0000 0.5000 0.5000
0.0000 0.1391 0.3609
0.0000 0.3609 0.8609
0.0000 0.8609 0.6391
0.0000 0.6391 0.1391

Ca5Hg (meta-GGA SCAN, single point on PBEsol structure); formation enthalpy at 0 K = -0.2497 eV per atom; calculated density = 3.1 Mg/m³; offset from the most stable computed form = 0.000 eV/atom; electronic total energy = -19.664 eV/atom
1.0
3.8296 0.0000 0.0000
0.0000 3.8296 0.0000
0.0000 0.0000 14.4175
Ca Hg
5 1
Direct
0.5000 0.5000 0.3116
0.0000 0.0000 0.5000
0.5000 0.5000 0.6884
0.0000 0.0000 0.8797
0.0000 0.0000 0.1203
0.5000 0.5000 0.0000

Ca5Hg (meta-GGA SCAN, single point on PBEsol structure); formation enthalpy at 0 K = -0.2356 eV per atom; calculated density = 3.1 Mg/m³; offset from the most stable computed form = 0.014 eV/atom; electronic total energy = -19.649 eV/atom
1.0
3.8189 0.0000 0.0000
-1.9094 6.5282 -0.0316
0.0000 -3.4807 8.5602
Ca Hg
5 1
Direct
0.3056 0.6111 0.6112
0.6351 0.2703 0.8217
0.9760 0.9519 0.4004
0.6740 0.3480 0.2439
0.9371 0.8742 0.9784
0.3056 0.6111 0.1112

Ca3Hg (meta-GGA SCAN, single point on PBEsol structure); formation enthalpy at 0 K = -0.4326 eV per atom; calculated density = 4.0 Mg/m³; offset from the most stable computed form = 0.000 eV/atom; electronic total energy = -24.722 eV/atom
1.0
-1.8307 4.2439 -4.8762
-3.2896 -6.1113 -4.0838
-8.6614 1.5739 4.6216
Ca Hg
12 4
Direct
0.3454 0.3227 0.4412
0.8454 0.1773 0.5588
0.8454 0.1773 0.9412
0.1258 0.5299 0.7500
0.6258 0.9701 0.2500
0.8742 0.4701 0.2500
0.3454 0.3227 0.0588
0.1546 0.8227 0.0588
0.1546 0.8227 0.4412
0.6546 0.6773 0.5588
0.6546 0.6773 0.9412
0.3742 0.0299 0.7500
0.0555 0.1193 0.2500
0.5555 0.3807 0.7500
0.4445 0.6193 0.2500
0.9445 0.8807 0.7500

Ca3Hg (meta-GGA SCAN, single point on PBEsol structure); formation enthalpy at 0 K = -0.3835 eV per atom; calculated density = 4.1 Mg/m³; offset from the most stable computed form = 0.049 eV/atom; electronic total energy = -24.672 eV/atom
1.0
3.7847 0.0000 0.0000
0.0000 3.7847 0.0000
0.0000 0.0000 9.1699
Hg Ca
1 3
Direct
0.5000 0.5000 0.0000
0.5000 0.5000 0.5000
0.0000 0.0000 0.1917
0.0000 0.0000 0.8083

CaHg7 (meta-GGA SCAN, single point on PBEsol structure); formation enthalpy at 0 K = -0.2073 eV per atom; calculated density = 12.6 Mg/m³; electronic total energy = -61.060 eV/atom
1.0
6.4548 0.0000 0.0000
3.2274 5.5900 0.0000
3.2274 1.8633 5.2703
Hg Ca
7 1
Direct
0.0000 0.0000 0.5000
0.5000 0.0000 0.0000
0.5000 0.0000 0.5000
0.5000 0.5000 0.5000
0.5000 0.5000 0.0000
0.0000 0.5000 0.5000
0.0000 0.5000 0.0000
0.0000 0.0000 0.0000

Ca3Hg (meta-GGA SCAN, single point on PBEsol structure); formation enthalpy at 0 K = -0.2869 eV per atom; calculated density = 3.8 Mg/m³; offset from the most stable computed form = 0.146 eV/atom; electronic total energy = -24.576 eV/atom
1.0
3.9003 0.0000 0.0000
-1.9502 3.3778 0.0000
0.0000 0.0000 10.6422
Hg Ca
1 3
Direct
0.3333 0.6667 0.5000
0.3333 0.6667 0.0000
0.0000 0.0000 0.7010
0.0000 0.0000 0.2990

Ca5Hg (meta-GGA SCAN, single point on PBEsol structure); formation enthalpy at 0 K = -0.1070 eV per atom; calculated density = 3.3 Mg/m³; offset from the most stable computed form = 0.143 eV/atom; electronic total energy = -19.521 eV/atom
1.0
5.8378 0.0000 0.0000
0.0000 6.3455 0.0000
0.0000 -3.1727 5.4954
Ca Hg
5 1
Direct
0.0000 0.3129 0.3129
0.0000 0.0000 0.6871
0.5000 0.3333 0.6667
0.5000 0.6667 0.3333
0.0000 0.6871 0.0000
0.5000 0.0000 0.0000

For reference, N(E_F) by record: 4.71; 5.45; 7.77; 4.95; 7.35; 1.46; 5.10; 7.73; 2.98; 6.13; 6.70; 12.01; 24.83; 23.35; 3.32; 6.30; 4.78; 5.34; 14.51; 2.69; 2.99; 3.44; 2.77 states/eV per cell.